Record 1
CePr3Pb2 after structural relaxation. Source: Alexandria via LeMat-Bulk, functional PBE.

Unit cell a=9.3134 b=9.3134 c=9.3134 alpha=130.69 beta=72.68 gamma=130.22
Positions (direct):
Ce 0.0000 0.0000 0.0000
Ce 0.5000 0.5000 0.0000
Pr 0.0396 0.2500 0.7896
Pr 0.2500 0.7500 0.5000
Pr 0.4604 0.2500 0.2104
Pr 0.5396 0.7500 0.7896
Pr 0.7500 0.2500 0.5000
Pr 0.9604 0.7500 0.2104
Pb 0.1422 0.6860 0.8282
Pb 0.3578 0.1860 0.5438
Pb 0.6422 0.8140 0.4562
Pb 0.8578 0.3140 0.1718

Computed properties:
For the formation energy, the calculation gives -0.15 eV per atom. The energy above the most stable polymorph in this dataset is 1.568 eV/f.u.


Record 2
Ac2ErAl3Au4 after structural relaxation. Source: Alexandria via LeMat-Bulk, functional PBE.

Unit cell a=4.6403 b=4.6403 c=10.9956 alpha=90.00 beta=90.00 gamma=90.00
Positions (direct):
Ac 0.0000 0.5000 0.2308
Ac 0.5000 0.0000 0.7692
Er 0.0000 0.0000 0.5000
Al 0.0000 0.5000 0.8824
Al 0.5000 0.0000 0.1176
Al 0.5000 0.5000 0.5000
Au 0.0000 0.0000 0.0000
Au 0.0000 0.5000 0.6495
Au 0.5000 0.0000 0.3505
Au 0.5000 0.5000 0.0000

Computed properties:
For the formation energy, the calculation gives -0.71 eV per atom.


Record 3
LiMg3Pt after structural relaxation. Source: Alexandria via LeMat-Bulk, functional PBE.

Unit cell a=5.0355 b=5.0355 c=5.0355 alpha=90.00 beta=90.00 gamma=90.00
Positions (direct):
Li 0.0000 0.0000 0.0000
Mg 0.0000 0.5000 0.5000
Mg 0.5000 0.0000 0.5000
Mg 0.5000 0.5000 0.0000
Pt 0.5000 0.5000 0.5000

Computed properties:
For the formation energy, the calculation gives -0.28 eV per atom. The energy above the most stable polymorph in this dataset is 1.118 eV/f.u.


Record 4
Zn2Ag2Au after structural relaxation. Source: Alexandria via LeMat-Bulk, functional PBE.

Unit cell a=7.4075 b=7.4075 c=7.4075 alpha=152.01 beta=152.01 gamma=40.00
Positions (direct):
Zn 0.2500 0.7500 0.5000
Zn 0.7500 0.2500 0.5000
Ag 0.1021 0.1021 0.0000
Ag 0.8979 0.8979 0.0000
Au 0.5000 0.5000 0.0000

Computed properties:
For the formation energy, the calculation gives 0.06 eV per atom. The energy above the most stable polymorph in this dataset is 0.783 eV/f.u.


Record 5
MgCdIrO6 after structural relaxation. Source: Alexandria via LeMat-Bulk, functional PBE.

Unit cell a=5.2453 b=5.2453 c=9.3945 alpha=90.00 beta=90.00 gamma=120.00
Positions (direct):
Mg 0.3333 0.6667 0.2500
Mg 0.6667 0.3333 0.7500
Cd 0.0000 0.0000 0.0000
Cd 0.0000 0.0000 0.5000
Ir 0.3333 0.6667 0.7500
Ir 0.6667 0.3333 0.2500
O 0.0239 0.3777 0.6367
O 0.0239 0.6462 0.8633
O 0.3538 0.3777 0.8633
O 0.3538 0.9761 0.6367
O 0.3777 0.0239 0.1367
O 0.3777 0.3538 0.3633
O 0.6223 0.6462 0.6367
O 0.6223 0.9761 0.8633
O 0.6462 0.0239 0.3633
O 0.6462 0.6223 0.1367
O 0.9761 0.3538 0.1367
O 0.9761 0.6223 0.3633

Computed properties:
The calculation puts the formation energy from raw total energies at -1.01 eV/atom.


Record 6
MnReRh6 after structural relaxation. Source: Alexandria via LeMat-Bulk, functional PBE.

Unit cell a=3.8367 b=3.8367 c=7.6947 alpha=90.00 beta=90.00 gamma=90.00
Positions (direct):
Mn 0.0000 0.0000 0.0000
Re 0.0000 0.0000 0.5000
Rh 0.0000 0.5000 0.2550
Rh 0.0000 0.5000 0.7450
Rh 0.5000 0.0000 0.2550
Rh 0.5000 0.0000 0.7450
Rh 0.5000 0.5000 0.0000
Rh 0.5000 0.5000 0.5000

Computed properties:
For the formation energy, the calculation gives -0.13 eV per atom. The energy above the most stable polymorph in this dataset is 0.000 eV/f.u.